[1]
A relaxed Ac3RhAuO crystal. Source: the Alexandria database, functional PBE.

Values from the calculation:
Theoretical density   9.08 g/cm³
Uncorrected formation energy   -1437 meV per atom

a = 9.030 Å, b = 4.321 Å, c = 9.532 Å
α = 90.00°, β = 101.32°, γ = 90.00°
Sites, in units of the cell vectors:
Ac1 0.070 0.250 0.338
Ac2 0.314 0.250 0.976
Ac3 0.382 0.750 0.644
Ac4 0.618 0.250 0.356
Ac5 0.686 0.750 0.024
Ac6 0.930 0.750 0.662
Rh1 0.158 0.250 0.652
Rh2 0.842 0.750 0.348
Au1 0.325 0.750 0.277
Au2 0.675 0.250 0.723
O1 0.416 0.750 0.909
O2 0.584 0.250 0.091

***

[2]
A relaxed PrHoNiIr crystal. Source: the Alexandria database, functional PBE.

Values from the calculation:
Theoretical density   10.51 g/cm³
Offset from the most stable computed form   0.0 meV per atom

a = 4.099 Å, b = 5.794 Å, c = 5.794 Å
α = 39.74°, β = 90.00°, γ = 90.00°
Sites, in units of the cell vectors:
Pr1 0.000 0.000 0.000
Ho1 0.500 0.283 0.283
Ni1 0.500 0.575 0.575
Ir1 0.000 0.724 0.724